# 1
Here is a relaxed LaCd3Tc crystal from the Alexandria database. Energies are from PBE-GGA.

a b c (Å): 5.9590 5.9590 5.9590
angles (deg): 90.00 90.00 90.00
Fractional positions:
Cd 0.0000 0.0000 0.5000
Cd 0.0000 0.5000 0.0000
Cd 0.5000 0.0000 0.0000
La 0.0000 0.0000 0.0000
Tc 0.5000 0.5000 0.5000

**D(E_F)**: 7.78 states/eV per cell
**Calculated formation energy**: 158.7 kJ per mole of atoms
**Volume**: 42.32 Å³/atom



# 2
Here is a relaxed Be2ReSe crystal from the Alexandria database. Energies are from PBE-GGA.

a b c (Å): 3.3452 4.5228 3.2842
angles (deg): 90.00 90.00 90.00
Fractional positions:
Se 0.0000 0.5000 0.5000
Be 0.0000 0.0000 0.0000
Be 0.5000 0.5000 0.0000
Re 0.5000 0.0000 0.5000

**D(E_F)**: 2.07 states/eV per cell
**Energy relative to the elements, uncorrected**: 0.3700 eV/atom
**Volume**: 12.42 Å³/atom



# 3
Here is a relaxed Al4CuRu crystal from the Alexandria database. Energies are from PBE-GGA.

a b c (Å): 5.0031 5.0031 5.0031
angles (deg): 60.00 60.00 60.00
Fractional positions:
Al 0.3745 0.8765 0.3745
Al 0.3745 0.3745 0.8765
Al 0.3745 0.3745 0.3745
Al 0.8765 0.3745 0.3745
Ru 0.0000 0.0000 0.0000
Cu 0.7500 0.7500 0.7500

**D(E_F)**: 3.61 states/eV per cell
**Calculated formation energy**: 5.8 kJ per mole of atoms
**Volume**: 14.76 Å³/atom



# 4
Here is a relaxed Pr4DyHo6 crystal from the Alexandria database. Energies are from PBE-GGA.

a b c (Å): 7.7090 7.7090 8.5531
angles (deg): 116.79 116.79 90.00
Fractional positions:
Ho 0.5000 0.0000 0.0000
Ho 0.0000 0.5000 0.0000
Ho 0.9230 0.4420 0.3650
Ho 0.4420 0.9230 0.3650
Ho 0.5580 0.5580 0.6350
Ho 0.0770 0.0770 0.6350
Pr 0.0995 0.7458 0.8453
Pr 0.2542 0.2542 0.1547
Pr 0.9005 0.9005 0.1547
Pr 0.7458 0.0995 0.8453
Dy 0.5000 0.5000 0.0000

**D(E_F)**: 13.59 states/eV per cell
**Calculated formation energy**: 44.0 kJ per mole of atoms
**Volume**: 35.61 Å³/atom